Here is a geometry-optimized NaNdMnWO6 structure from Alexandria. Energies are from PBE+U.

The structure in extended XYZ format:
```
10
Lattice="0.000 4.020 4.020 4.020 0.000 4.020 4.020 4.020 0.000" Properties=species:S:1:pos:R:3 pbc="T T T"
Na 0.000 0.000 0.000
Nd 4.020 4.020 4.020
Mn 2.010 2.010 2.010
W 6.031 6.031 6.031
O 6.031 6.031 4.099
O 6.031 4.099 6.031
O 7.963 6.031 6.031
O 4.099 6.031 6.031
O 6.031 7.963 6.031
O 6.031 6.031 7.963
```

Calculated values
- ΔE to the lowest computed polymorph: 1.78 eV/f.u.
- Spin magnetization: 5.0 μB per formula unit